Entry 1:
YSc2Pb: relaxed, PBE.

abc: 3.4912 4.4761 6.6850
angles: 90.00 90.00 90.00
Space group Pmmm (No. 47)
Inequivalent atoms, fractional coordinates:
Y 0.0000 0.0000 0.0000
Sc 0.5000 0.5000 0.2527
Pb 0.0000 0.0000 0.5000

Values from the calculation:
N(E_F), states/eV per cell: 6.19
Energy of formation, eV per atom: -0.17
Total DFT energy (no corrections), eV per atom: -5.879

---

Entry 2:
YSc2Pb2: relaxed, PBE.

abc: 8.7642 8.7642 3.3870
angles: 90.00 90.00 90.00
Space group P4/mbm (No. 127)
Inequivalent atoms, fractional coordinates:
Y 0.0000 0.0000 0.0000
Sc 0.1215 0.3785 0.0000
Pb 0.1759 0.6759 0.5000

Values from the calculation:
N(E_F), states/eV per cell: 10.91
Energy of formation, eV per atom: -0.26
Total DFT energy (no corrections), eV per atom: -5.565

---

Entry 3:
YSc2Pb: relaxed, PBE.

abc: 3.4957 4.9177 6.4261
angles: 90.00 104.39 90.00
Space group P2/m (No. 10)
Inequivalent atoms, fractional coordinates:
Y 0.0000 0.0000 0.0000
Sc 0.4015 0.5000 0.7405
Pb 0.0000 0.0000 0.5000

Values from the calculation:
N(E_F), states/eV per cell: 5.67
Energy of formation, eV per atom: -0.17
Total DFT energy (no corrections), eV per atom: -5.884

---

Entry 4:
Y3ScPb: relaxed, PBE.

abc: 5.7649 5.7649 5.7649
angles: 90.00 90.00 90.00
Space group Pm-3m (No. 221)
Inequivalent atoms, fractional coordinates:
Y 0.0000 0.0000 0.5000
Sc 0.5000 0.5000 0.5000
Pb 0.0000 0.0000 0.0000

Values from the calculation:
N(E_F), states/eV per cell: 8.96
Energy of formation, eV per atom: 0.45
Total DFT energy (no corrections), eV per atom: -5.437

---

Entry 5:
YScPb2: relaxed, PBE.

abc: 3.4665 4.3658 7.0193
angles: 90.00 93.58 90.00
Space group P2/m (No. 10)
Inequivalent atoms, fractional coordinates:
Y 0.0000 0.0000 0.0000
Sc 0.0000 0.0000 0.5000
Pb 0.5003 0.5000 0.2630

Values from the calculation:
N(E_F), states/eV per cell: 3.87
Energy of formation, eV per atom: -0.38
Total DFT energy (no corrections), eV per atom: -5.435

---

Entry 6:
YScPb2: relaxed, PBE.

abc: 4.2243 4.2243 6.2635
angles: 90.00 90.00 90.00
Space group P4mm (No. 99)
Inequivalent atoms, fractional coordinates:
Y 0.0000 0.0000 0.0000
Sc 0.5000 0.5000 0.7123
Pb 0.0000 0.0000 0.5107
Pb 0.5000 0.5000 0.2132

Values from the calculation:
N(E_F), states/eV per cell: 4.91
Energy of formation, eV per atom: -0.23
Total DFT energy (no corrections), eV per atom: -5.288

---

Entry 7:
YScPb2: relaxed, PBE.

abc: 4.9135 4.9135 4.3983
angles: 90.00 90.00 90.00
Space group P4/mmm (No. 123)
Inequivalent atoms, fractional coordinates:
Y 0.0000 0.0000 0.0000
Sc 0.5000 0.5000 0.0000
Pb 0.0000 0.5000 0.5000

Values from the calculation:
N(E_F), states/eV per cell: 4.42
Energy of formation, eV per atom: -0.37
Total DFT energy (no corrections), eV per atom: -5.425

---

Entry 8:
YSc2Pb: relaxed, PBE.

abc: 7.4274 7.4274 7.4274
angles: 90.00 90.00 90.00
Space group F-43m (No. 216)
Inequivalent atoms, fractional coordinates:
Y 0.0000 0.0000 0.0000
Sc 0.0000 0.0000 0.5000
Sc 0.2500 0.2500 0.2500
Pb 0.2500 0.2500 0.7500

Values from the calculation:
N(E_F), states/eV per cell: 23.56
Energy of formation, eV per atom: -0.11
Total DFT energy (no corrections), eV per atom: -5.815

---

Entry 9:
Y2ScPb3: relaxed, PBE.

abc: 16.2496 6.3262 6.6361
angles: 90.00 90.00 90.00
Space group Cmcm (No. 63)
Inequivalent atoms, fractional coordinates:
Y 0.1655 0.2155 0.2500
Sc 0.0000 0.5000 0.0000
Pb 0.0000 0.0000 0.0000
Pb 0.1427 0.2917 0.7500

Values from the calculation:
N(E_F), states/eV per cell: 20.99
Energy of formation, eV per atom: -0.41
Total DFT energy (no corrections), eV per atom: -5.470

---

Entry 10:
YSc2Pb: relaxed, PBE.

abc: 3.5519 4.4339 6.6455
angles: 90.00 90.00 90.00
Space group Pmm2 (No. 25)
Inequivalent atoms, fractional coordinates:
Y 0.0000 0.0000 0.0000
Sc 0.0000 0.0000 0.5102
Sc 0.5000 0.5000 0.7428
Pb 0.5000 0.5000 0.2669

Values from the calculation:
N(E_F), states/eV per cell: 5.08
Energy of formation, eV per atom: -0.23
Total DFT energy (no corrections), eV per atom: -5.943

---

Entry 11:
YSc2Pb: relaxed, PBE.

abc: 8.4793 8.4793 6.3135
angles: 90.00 90.00 90.00
Space group I-42d (No. 122)
Inequivalent atoms, fractional coordinates:
Y 0.0000 0.0000 0.0000
Sc 0.2185 0.2500 0.6250
Pb 0.0000 0.0000 0.5000

Values from the calculation:
N(E_F), states/eV per cell: 14.37
Energy of formation, eV per atom: 0.10
Total DFT energy (no corrections), eV per atom: -5.607

---

Entry 12:
Y2ScPb2: relaxed, PBE.

abc: 7.8917 7.8917 4.5197
angles: 90.00 90.00 90.00
Space group P4/mbm (No. 127)
Inequivalent atoms, fractional coordinates:
Y 0.1677 0.3323 0.0000
Sc 0.0000 0.0000 0.5000
Pb 0.1402 0.6402 0.5000

Values from the calculation:
N(E_F), states/eV per cell: 11.91
Energy of formation, eV per atom: -0.48
Total DFT energy (no corrections), eV per atom: -5.820

---

Entry 13:
Y2ScPb2: relaxed, PBE.

abc: 9.0397 9.0397 3.5606
angles: 90.00 90.00 90.00
Space group P4/mbm (No. 127)
Inequivalent atoms, fractional coordinates:
Y 0.1290 0.3710 0.0000
Sc 0.0000 0.0000 0.0000
Pb 0.1728 0.6728 0.5000

Values from the calculation:
N(E_F), states/eV per cell: 7.85
Energy of formation, eV per atom: -0.16
Total DFT energy (no corrections), eV per atom: -5.499

---

Entry 14:
YScPb3: relaxed, PBE.

abc: 5.5085 5.5085 5.5085
angles: 90.00 90.00 90.00
Space group Pm-3m (No. 221)
Inequivalent atoms, fractional coordinates:
Y 0.0000 0.0000 0.0000
Sc 0.5000 0.5000 0.5000
Pb 0.0000 0.5000 0.5000

Values from the calculation:
N(E_F), states/eV per cell: 2.30
Energy of formation, eV per atom: 0.15
Total DFT energy (no corrections), eV per atom: -4.635

---

Entry 15:
YScPb: relaxed, PBE.

abc: 7.3065 7.3065 7.3065
angles: 90.00 90.00 90.00
Space group F-43m (No. 216)
Inequivalent atoms, fractional coordinates:
Y 0.0000 0.0000 0.0000
Sc 0.2500 0.2500 0.2500
Pb 0.2500 0.2500 0.7500

Values from the calculation:
N(E_F), states/eV per cell: 24.46
Energy of formation, eV per atom: 0.35
Total DFT energy (no corrections), eV per atom: -5.149

---

Entry 16:
YSc2Pb: relaxed, PBE.

abc: 4.4981 4.5089 10.2797
angles: 90.00 90.00 90.00
Space group Immm (No. 71)
Inequivalent atoms, fractional coordinates:
Y 0.0000 0.0000 0.0000
Sc 0.0000 0.5000 0.2497
Pb 0.0000 0.0000 0.5000

Values from the calculation:
N(E_F), states/eV per cell: 10.69
Energy of formation, eV per atom: -0.24
Total DFT energy (no corrections), eV per atom: -5.949

---

Entry 17:
Y3ScPb5: relaxed, PBE.

abc: 9.4785 9.4785 6.4190
angles: 90.00 90.00 120.00
Space group P6_3/mcm (No. 193)
Inequivalent atoms, fractional coordinates:
Y 0.0000 0.3838 0.2500
Sc 0.0000 0.0000 0.0000
Pb 0.0000 0.2763 0.7500
Pb 0.3333 0.6667 0.0000

Values from the calculation:
N(E_F), states/eV per cell: 15.36
Energy of formation, eV per atom: -0.43
Total DFT energy (no corrections), eV per atom: -5.347

---

Entry 18:
YSc3Pb: relaxed, PBE.

abc: 5.4626 5.4626 5.4626
angles: 90.00 90.00 90.00
Space group Pm-3m (No. 221)
Inequivalent atoms, fractional coordinates:
Y 0.0000 0.0000 0.0000
Sc 0.0000 0.5000 0.5000
Pb 0.5000 0.5000 0.5000

Values from the calculation:
N(E_F), states/eV per cell: 8.15
Energy of formation, eV per atom: 0.41
Total DFT energy (no corrections), eV per atom: -5.421

---

Entry 19:
YScPb2: relaxed, PBE.

abc: 6.2183 6.2279 11.7095
angles: 90.00 103.43 90.00
Space group P2/c (No. 13)
Inequivalent atoms, fractional coordinates:
Y 0.1867 0.1281 0.1298
Sc 0.3332 0.3689 0.8778
Pb 0.1618 0.3726 0.6119
Pb 0.3288 0.1376 0.4027

Values from the calculation:
N(E_F), states/eV per cell: 14.76
Energy of formation, eV per atom: -0.40
Total DFT energy (no corrections), eV per atom: -5.450

---

Entry 20:
YSc2Pb: relaxed, PBE.

abc: 3.4094 3.4094 34.3209
angles: 90.00 90.00 120.00
Space group R-3m (No. 166, hexagonal axes)
Inequivalent atoms, fractional coordinates:
Y 0.0000 0.0000 0.0000
Sc 0.0000 0.0000 0.4123
Pb 0.0000 0.0000 0.5000

Values from the calculation:
N(E_F), states/eV per cell: 17.07
Energy of formation, eV per atom: 0.11
Total DFT energy (no corrections), eV per atom: -5.596